1.
# PBE-GGA Th8SnTe4Os3, relaxed
# Uncorrected formation energy, meV/atom: -788
data_Th8SnTe4Os3
_symmetry_space_group_name_H-M 'R -3 m'
_symmetry_Int_Tables_number 166
_symmetry_space_group_name_Hall '-R 3 2"'
_cell_length_a 8.6043
_cell_length_b 8.6043
_cell_length_c 22.8443
_cell_angle_alpha 90.00
_cell_angle_beta 90.00
_cell_angle_gamma 120.00
loop_
_atom_site_label
_atom_site_fract_x
_atom_site_fract_y
_atom_site_fract_z
Th1 0.0000 0.0000 0.2341
Th2 0.0244 0.5122 0.7646
Sn1 0.0000 0.0000 0.5000
Te1 0.0000 0.0000 0.0000
Te2 0.0000 0.5000 0.0000
Os1 0.0000 0.5000 0.5000



2.
# PBE-GGA SnTe2OsW, relaxed
# Uncorrected formation energy, meV/atom: 2679
data_SnTe2OsW
_symmetry_space_group_name_H-M 'P 4/m m m'
_symmetry_Int_Tables_number 123
_symmetry_space_group_name_Hall '-P 4 2'
_cell_length_a 5.4650
_cell_length_b 5.4650
_cell_length_c 5.1134
_cell_angle_alpha 90.00
_cell_angle_beta 90.00
_cell_angle_gamma 90.00
loop_
_atom_site_label
_atom_site_fract_x
_atom_site_fract_y
_atom_site_fract_z
Sn1 0.0000 0.0000 0.0000
Te1 0.0000 0.5000 0.0000
Os1 0.5000 0.5000 0.5000
W1 0.0000 0.0000 0.5000



3.
# PBE-GGA Th8Sn2Os3, relaxed
# Formation energy from the elements, eV per atom: -0.17
data_Th8Sn2Os3
_symmetry_space_group_name_H-M 'C 1 2/m 1'
_symmetry_Int_Tables_number 12
_symmetry_space_group_name_Hall '-C 2y'
_cell_length_a 15.9981
_cell_length_b 8.2155
_cell_length_c 7.0783
_cell_angle_alpha 90.00
_cell_angle_beta 106.01
_cell_angle_gamma 90.00
loop_
_atom_site_label
_atom_site_fract_x
_atom_site_fract_y
_atom_site_fract_z
Th1 0.0994 0.0000 0.4065
Th2 0.1013 0.5000 0.3967
Th3 0.1026 0.2527 0.8962
Sn1 0.2473 0.0000 0.1664
Os1 0.0000 0.2476 0.5000
Os2 0.0000 0.5000 0.0000



4.
# PBE-GGA Th3SnOs, relaxed
# Energy above the lowest structure with this stoichiometry, eV/atom: 0.0000
# Formation energy from the elements, eV per atom: -0.43
data_Th3SnOs
_symmetry_space_group_name_H-M 'P n m a'
_symmetry_Int_Tables_number 62
_symmetry_space_group_name_Hall '-P 2ac 2n'
_cell_length_a 8.5345
_cell_length_b 4.5604
_cell_length_c 15.0013
_cell_angle_alpha 90.00
_cell_angle_beta 90.00
_cell_angle_gamma 90.00
loop_
_atom_site_label
_atom_site_fract_x
_atom_site_fract_y
_atom_site_fract_z
Th1 0.0296 0.2500 0.1031
Th2 0.1415 0.2500 0.5056
Th3 0.1827 0.7500 0.2802
Sn1 0.0918 0.7500 0.6781
Os1 0.1799 0.2500 0.9388



5.
# PBE-GGA Th12Sn6Os, relaxed
# Formation energy from the elements, eV per atom: -0.24
data_Th12Sn6Os
_symmetry_space_group_name_H-M 'R -3'
_symmetry_Int_Tables_number 148
_symmetry_space_group_name_Hall '-R 3'
_cell_length_a 12.2652
_cell_length_b 12.2652
_cell_length_c 14.0702
_cell_angle_alpha 90.00
_cell_angle_beta 90.00
_cell_angle_gamma 120.00
loop_
_atom_site_label
_atom_site_fract_x
_atom_site_fract_y
_atom_site_fract_z
Th1 0.0353 0.8516 0.3785
Th2 0.0385 0.1997 0.8843
Sn1 0.0062 0.6077 0.2476
Os1 0.0000 0.0000 0.0000



6.
# PBE-GGA Th2SnOs, relaxed
# Energy above the lowest structure with this stoichiometry, eV/atom: 0.1256
# Formation energy from the elements, eV per atom: -0.36
data_Th2SnOs
_symmetry_space_group_name_H-M 'P 1 2/c 1'
_symmetry_Int_Tables_number 13
_symmetry_space_group_name_Hall '-P 2yc'
_cell_length_a 6.4670
_cell_length_b 6.0511
_cell_length_c 11.5748
_cell_angle_alpha 90.00
_cell_angle_beta 104.58
_cell_angle_gamma 90.00
loop_
_atom_site_label
_atom_site_fract_x
_atom_site_fract_y
_atom_site_fract_z
Th1 0.1655 0.1701 0.1214
Th2 0.2781 0.3420 0.8333
Sn1 0.3524 0.1649 0.4237
Os1 0.1300 0.3287 0.5874